12
Lattice="5.306 0.000 0.000 -2.653 4.595 0.000 0.000 0.000 6.428" Properties=species:S:1:pos:R:3 comment="TbVBi2O8, optimized geometry, DFT GGA+U" spacegroup="No. 164" dft_energy_ry_per_atom=-0.4583 n_ef_per_ev_atom=0.67 pbc="T T T"
Bi 0.000 3.063 5.494
Bi 2.653 1.532 0.935
O 0.000 1.472 1.153
O 1.378 3.859 1.153
O 4.031 0.736 5.275
O 1.275 0.736 5.275
O 0.000 3.063 3.474
O 2.653 1.532 2.954
O -1.378 3.859 1.153
O 2.653 3.123 5.275
Tb 0.000 0.000 3.214
V 0.000 0.000 0.000